A geometry-optimized NaBeNb structure, computed with PBE-GGA.

```
NaBeNb
1.0
13.807 0.000 0.000
0.000 6.405 0.000
0.000 0.000 2.517
Na Be Nb
4 4 4
Direct
0.155 0.250 0.001 Na
0.345 0.750 0.501 Na
0.655 0.250 0.499 Na
0.845 0.750 0.999 Na
0.000 0.000 0.500 Be
0.000 0.500 0.500 Be
0.500 0.000 0.000 Be
0.500 0.500 0.000 Be
0.117 0.750 0.000 Nb
0.383 0.250 0.500 Nb
0.617 0.750 0.500 Nb
0.883 0.250 0.000 Nb
```

Values from the calculation:
energy of formation from the pure elements = 0.638 eV/atom
SG = Pnma
total magnetization = 0.0 μB/f.u.

---

A geometry-optimized NaBeNb structure, computed with PBE-GGA.

```
NaBeNb
1.0
4.789 0.000 0.000
-2.395 4.148 0.000
0.000 0.000 2.627
Na Be Nb
1 1 1
Direct
0.000 0.000 0.000 Na
0.333 0.667 0.500 Be
0.667 0.333 0.500 Nb
```

Values from the calculation:
energy of formation from the pure elements = 1.038 eV/atom
SG = P-6m2
total magnetization = 0.0 μB/f.u.

---

A geometry-optimized NaBeNb structure, computed with PBE-GGA.

```
NaBeNb
1.0
3.030 0.000 0.000
0.000 3.548 0.000
-0.098 0.000 11.244
Na Be Nb
2 2 2
Direct
0.229 0.250 0.358 Na
0.771 0.750 0.642 Na
0.297 0.250 0.833 Be
0.703 0.750 0.167 Be
0.202 0.250 0.076 Nb
0.798 0.750 0.924 Nb
```

Values from the calculation:
energy of formation from the pure elements = 0.283 eV/atom
SG = P2_1/m
total magnetization = 0.0 μB/f.u.

---

A geometry-optimized NaBeNb structure, computed with PBE-GGA.

```
NaBeNb
1.0
4.256 0.000 0.000
-2.128 3.686 0.000
0.000 0.000 9.705
Na Be Nb
2 2 2
Direct
0.333 0.667 0.250 Na
0.667 0.333 0.750 Na
0.000 0.000 0.250 Be
0.000 0.000 0.750 Be
0.000 0.000 0.000 Nb
0.000 0.000 0.500 Nb
```

Values from the calculation:
energy of formation from the pure elements = 1.930 eV/atom
SG = P6_3/mmc
total magnetization = 3.1 μB/f.u.

---

A geometry-optimized NaBeNb structure, computed with PBE-GGA.

```
NaBeNb
1.0
4.586 0.000 0.000
-2.293 3.971 0.000
0.000 0.000 5.193
Na Be Nb
2 2 2
Direct
0.000 0.000 0.000 Na
0.000 0.000 0.500 Na
0.333 0.667 0.250 Be
0.667 0.333 0.750 Be
0.333 0.667 0.750 Nb
0.667 0.333 0.250 Nb
```

Values from the calculation:
energy of formation from the pure elements = 0.768 eV/atom
SG = P6_3/mmc
total magnetization = 0.0 μB/f.u.

---

A geometry-optimized NaBeNb structure, computed with PBE-GGA.

```
NaBeNb
1.0
4.330 0.000 0.000
0.000 4.330 0.000
0.000 0.000 6.749
Na Be Nb
2 2 2
Direct
0.250 0.250 0.155 Na
0.750 0.750 0.845 Na
0.250 0.750 0.500 Be
0.750 0.250 0.500 Be
0.250 0.250 0.622 Nb
0.750 0.750 0.378 Nb
```

Values from the calculation:
energy of formation from the pure elements = 0.776 eV/atom
SG = P4/nmm
total magnetization = 0.0 μB/f.u.

---

> Which value of total magnetization does entry 2 give?

0.0 μB/f.u.